A plane-wave DFT calculation with PBE with a Hubbard U was carried out for crystalline Cs2V2PbO6 at its relaxed geometry.

Output
final energy	-68.72	eV/cell
space-group type	R-3m, No. 166
crystal system	trigonal

Cell lengths 7.3716, 7.3716, 7.3716 Å; angles 52.25, 52.25, 52.25 degrees
Closest atoms and distances in Å follow each position.
Positions (direct):
Cs  0.2205  0.2205  0.2205  9 O 3.31-3.37
Cs  0.7795  0.7795  0.7795  9 O 3.31-3.37
V  0.4296  0.4296  0.4296  3 O 1.72
V  0.5704  0.5704  0.5704  3 O 1.72
Pb  0.0000  0.0000  0.0000  6 O 2.56
O  0.2626  0.2626  0.7156  1 V 1.72
O  0.2626  0.7156  0.2626  1 V 1.72
O  0.2844  0.7374  0.7374  1 V 1.72
O  0.7156  0.2626  0.2626  1 V 1.72
O  0.7374  0.2844  0.7374  1 V 1.72
O  0.7374  0.7374  0.2844  1 V 1.72